1.
# KCdSnBi

A geometry-optimized KCdSnBi structure (PBE, Alexandria).

For the magnetization, the calculation gives 0.0 μB per formula unit. For the calculated density, the calculation gives 6.276 Mg/m³. The calculation puts the energy relative to the elements at -0.054 eV/atom.

Unit cell a=5.6391 b=5.6391 c=5.6391 alpha=60.00 beta=60.00 gamma=60.00
Last column: nearest neighbours and their distance in Å.
Fractional coordinates of all 4 atoms:
K1 0.0000 0.0000 0.0000  4 Cd 3.45, 4 Bi 3.45
Cd1 0.7500 0.7500 0.7500  4 Sn 3.45, 4 K 3.45
Sn1 0.5000 0.5000 0.5000  4 Cd 3.45, 4 Bi 3.45
Bi1 0.2500 0.2500 0.2500  4 Sn 3.45, 4 K 3.45


2.
# Os2PtPb2

A geometry-optimized Os2PtPb2 structure (PBE, Alexandria).

For the magnetization, the calculation gives 0.0 μB per formula unit. The energy above the lowest structure with this stoichiometry comes out at 0.0 meV/atom. For the calculated density, the calculation gives 15.191 Mg/m³. The calculation puts the energy relative to the elements at 0.697 eV/atom.

Unit cell a=9.0254 b=9.0254 c=9.0254 alpha=157.43 beta=157.43 gamma=32.13
Last column: nearest neighbours and their distance in Å.
Fractional coordinates of all 5 atoms:
Os1 0.2500 0.7500 0.5000  4 Os 2.50
Os2 0.7500 0.2500 0.5000  4 Os 2.50
Pt1 0.0000 0.0000 0.0000  8 Pb 3.04
Pb1 0.4005 0.4005 0.0000  4 Pt 3.04, 4 Os 3.15
Pb2 0.5995 0.5995 0.0000  4 Pt 3.04, 4 Os 3.15


3.
# PmY5Er2Tm

A geometry-optimized PmY5Er2Tm structure (PBE, Alexandria).

For the magnetization, the calculation gives 0.0 μB per formula unit. For the calculated density, the calculation gives 6.138 Mg/m³. The calculation puts the energy relative to the elements at 0.156 eV/atom.

Unit cell a=10.4416 b=10.4416 c=10.4916 alpha=90.00 beta=90.00 gamma=148.87
Last column: nearest neighbours and their distance in Å.
Fractional coordinates of all 18 atoms:
Pm1 0.1962 0.8038 0.5000  2 Er 3.38-3.60, 6 Y 3.44-3.63, 2 Tm 3.61
Pm2 0.8038 0.1962 0.0000  2 Er 3.38-3.60, 6 Y 3.44-3.63, 2 Tm 3.61
Y1 0.0159 0.9841 0.5079  2 Tm 3.24, 3 Er 3.36-3.55, 2 Y 3.60, 1 Pm 3.63
Y2 0.2778 0.7222 0.8002  1 Tm 3.06, 1 Er 3.33, 2 Y 3.42
Y3 0.3016 0.6984 0.1903  4 Y 3.42-3.78, 2 Pm 3.44, 1 Tm 3.46, 2 Er 3.50
Y4 0.3884 0.6116 0.5103  6 Y 3.48-3.80, 4 Er 3.55-3.58, 1 Pm 3.87
Y5 0.4793 0.5207 0.2238  2 Tm 3.14-3.29, 2 Er 3.45, 1 Y 3.48
Y6 0.5207 0.4793 0.7238  2 Tm 3.14-3.29, 2 Er 3.45, 1 Y 3.48
Y7 0.6116 0.3884 0.0103  6 Y 3.48-3.80, 4 Er 3.55-3.58, 1 Pm 3.87
Y8 0.6984 0.3016 0.6903  4 Y 3.42-3.78, 2 Pm 3.44, 1 Tm 3.46, 2 Er 3.50
Y9 0.7222 0.2778 0.3002  1 Tm 3.06, 1 Er 3.33, 2 Y 3.42
Y10 0.9841 0.0159 0.0079  2 Tm 3.24, 3 Er 3.36-3.55, 2 Y 3.60, 1 Pm 3.63
Er1 0.1104 0.8896 0.2226  1 Pm 3.38, 6 Y 3.40-3.68, 2 Tm 3.63
Er2 0.1121 0.8879 0.8029  9 Y 3.33-3.65, 1 Pm 3.60
Er3 0.8879 0.1121 0.3029  9 Y 3.33-3.65, 1 Pm 3.60
Er4 0.8896 0.1104 0.7226  1 Pm 3.38, 6 Y 3.40-3.68, 2 Tm 3.63
Tm1 0.4119 0.5881 0.9378  5 Y 3.06-3.29
Tm2 0.5881 0.4119 0.4378  5 Y 3.06-3.29


4.
# Nd2CO5

A geometry-optimized Nd2CO5 structure (PBE, Alexandria).

As for the uncorrected formation energy: -265.31 kJ per mole of atoms. For the magnetization, the calculation gives 0.0 μB per formula unit. For the calculated density, the calculation gives 5.704 Mg/m³.

Unit cell a=4.0683 b=4.0683 c=15.7663 alpha=90.00 beta=90.00 gamma=121.91
Last column: nearest neighbours and their distance in Å.
Fractional coordinates of all 16 atoms:
Nd1 0.1646 0.8354 0.5945  7 O 2.39-2.59
Nd2 0.1646 0.8354 0.9055  7 O 2.39-2.59
Nd3 0.8354 0.1646 0.0945  7 O 2.39-2.59
Nd4 0.8354 0.1646 0.4055  7 O 2.39-2.59
C1 0.4285 0.5715 0.7500  3 O 1.28-1.30
C2 0.5715 0.4285 0.2500  3 O 1.28-1.30
O1 0.1645 0.8355 0.0576  4 Nd 2.39-2.41
O2 0.1645 0.8355 0.4424  4 Nd 2.39-2.41
O3 0.2480 0.7520 0.7500  1 C 1.28
O4 0.4850 0.5150 0.1771  1 C 1.30
O5 0.4850 0.5150 0.3229  1 C 1.30
O6 0.5150 0.4850 0.6771  1 C 1.30
O7 0.5150 0.4850 0.8229  1 C 1.30
O8 0.7520 0.2480 0.2500  1 C 1.28
O9 0.8355 0.1645 0.5576  4 Nd 2.39-2.41
O10 0.8355 0.1645 0.9424  4 Nd 2.39-2.41


5.
# BaOs2

A geometry-optimized BaOs2 structure (PBE, Alexandria).

For the magnetization, the calculation gives 0.0 μB per formula unit. The energy above the lowest structure with this stoichiometry comes out at 300.0 meV/atom. For the calculated density, the calculation gives 11.707 Mg/m³. The calculation puts the energy relative to the elements at 0.717 eV/atom.

Unit cell a=4.7103 b=4.7103 c=11.4086 alpha=105.37 beta=105.37 gamma=37.19
Last column: nearest neighbours and their distance in Å.
Fractional coordinates of all 6 atoms:
Ba1 0.1856 0.1856 0.1676  2 Ba 3.00, 3 Os 3.16-3.26
Ba2 0.8144 0.8144 0.8324  2 Ba 3.00, 3 Os 3.16-3.26
Os1 0.1526 0.1526 0.5398  8 Os 2.59-2.81
Os2 0.4776 0.4776 0.6461  5 Os 2.59-2.81
Os3 0.5224 0.5224 0.3539  5 Os 2.59-2.81
Os4 0.8474 0.8474 0.4602  8 Os 2.59-2.81


6.
# KCrAs2Br

A geometry-optimized KCrAs2Br structure (PBE, Alexandria).

As for the uncorrected formation energy: -28.09 kJ per mole of atoms. For the magnetization, the calculation gives 1.7 μB per formula unit. For the calculated density, the calculation gives 3.984 Mg/m³.

Unit cell a=4.6592 b=4.6592 c=6.1603 alpha=90.00 beta=90.00 gamma=90.00
Last column: nearest neighbours and their distance in Å.
Fractional coordinates of all 5 atoms:
K1 0.0000 0.0000 0.0000  4 Br 3.29
Cr1 0.5000 0.5000 0.5000  4 As 2.33
As1 0.0000 0.5000 0.5000  2 Cr 2.33
As2 0.5000 0.0000 0.5000  2 Cr 2.33
Br1 0.5000 0.5000 0.0000  2 Cr 3.08, 4 K 3.29


7.
# Li2CoPd9

A geometry-optimized Li2CoPd9 structure (PBE, Alexandria).

For the magnetization, the calculation gives 3.5 μB per formula unit. For the calculated density, the calculation gives 9.752 Mg/m³. The calculation puts the energy relative to the elements at -0.146 eV/atom.

Unit cell a=3.8765 b=3.8765 c=11.6773 alpha=90.00 beta=90.00 gamma=90.00
Last column: nearest neighbours and their distance in Å.
Fractional coordinates of all 12 atoms:
Li1 0.0000 0.0000 0.1654  12 Pd 2.74-2.78
Li2 0.0000 0.0000 0.8346  12 Pd 2.74-2.78
Co1 0.0000 0.0000 0.5000  12 Pd 2.72-2.74
Pd1 0.0000 0.5000 0.0000  4 Li 2.74, 8 Pd 2.74-2.75
Pd2 0.0000 0.5000 0.3361  8 Pd 2.72-2.76, 2 Co 2.72, 2 Li 2.78
Pd3 0.0000 0.5000 0.6639  8 Pd 2.72-2.76, 2 Co 2.72, 2 Li 2.78
Pd4 0.5000 0.0000 0.0000  4 Li 2.74, 8 Pd 2.74-2.75
Pd5 0.5000 0.0000 0.3361  8 Pd 2.72-2.76, 2 Co 2.72, 2 Li 2.78
Pd6 0.5000 0.0000 0.6639  8 Pd 2.72-2.76, 2 Co 2.72, 2 Li 2.78
Pd7 0.5000 0.5000 0.1676  4 Li 2.74, 8 Pd 2.75-2.76
Pd8 0.5000 0.5000 0.5000  8 Pd 2.72, 4 Co 2.74
Pd9 0.5000 0.5000 0.8324  4 Li 2.74, 8 Pd 2.75-2.76


8.
# KGa2SiO6

A geometry-optimized KGa2SiO6 structure (PBE, Alexandria).

As for the uncorrected formation energy: -188.09 kJ per mole of atoms. For the magnetization, the calculation gives 1.0 μB per formula unit. For the calculated density, the calculation gives 3.407 Mg/m³.

Unit cell a=7.3976 b=7.3976 c=6.0208 alpha=103.36 beta=103.36 gamma=104.72
Last column: nearest neighbours and their distance in Å.
Fractional coordinates of all 20 atoms:
K1 0.0998 0.9002 0.7500  6 O 2.69-2.75
K2 0.9002 0.0998 0.2500  6 O 2.69-2.75
Ga1 0.2706 0.4509 0.8756  4 O 1.83-1.93
Ga2 0.4509 0.2706 0.3756  4 O 1.83-1.93
Ga3 0.5491 0.7294 0.6244  4 O 1.83-1.93
Ga4 0.7294 0.5491 0.1244  4 O 1.83-1.93
Si1 0.1970 0.8030 0.2500  4 O 1.63-1.65
Si2 0.8030 0.1970 0.7500  4 O 1.63-1.65
O1 0.0316 0.2482 0.7416  1 Si 1.65
O2 0.2128 0.6702 0.0027  1 Si 1.63, 1 Ga 1.83
O3 0.2482 0.0316 0.2416  1 Si 1.65
O4 0.3298 0.7872 0.4973  1 Si 1.63, 1 Ga 1.83
O5 0.3505 0.4234 0.5890  2 Ga 1.92-1.93
O6 0.4234 0.3505 0.0890  2 Ga 1.92-1.93
O7 0.5766 0.6495 0.9110  2 Ga 1.92-1.93
O8 0.6495 0.5766 0.4110  2 Ga 1.92-1.93
O9 0.6702 0.2128 0.5027  1 Si 1.63, 1 Ga 1.83
O10 0.7518 0.9684 0.7584  1 Si 1.65
O11 0.7872 0.3298 0.9973  1 Si 1.63, 1 Ga 1.83
O12 0.9684 0.7518 0.2584  1 Si 1.65


9.
# Sm2SnBi

A geometry-optimized Sm2SnBi structure (PBE, Alexandria).

For the magnetization, the calculation gives 0.0 μB per formula unit. The energy above the lowest structure with this stoichiometry comes out at 168.7 meV/atom. For the calculated density, the calculation gives 8.866 Mg/m³. The calculation puts the energy relative to the elements at -0.664 eV/atom.

Unit cell a=4.1317 b=4.1317 c=6.8944 alpha=90.00 beta=90.00 gamma=90.00
Last column: nearest neighbours and their distance in Å.
Fractional coordinates of all 4 atoms:
Sm1 0.0000 0.0000 0.2463  4 Sn 3.38, 2 Sm 3.40-3.50, 4 Bi 3.41
Sm2 0.0000 0.0000 0.7537  4 Sn 3.38, 2 Sm 3.40-3.50, 4 Bi 3.41
Sn1 0.5000 0.5000 0.0000  8 Sm 3.38, 2 Bi 3.45
Bi1 0.5000 0.5000 0.5000  8 Sm 3.41, 2 Sn 3.45


10.
# AcCl6F2

A geometry-optimized AcCl6F2 structure (PBE, Alexandria).

As for the uncorrected formation energy: -134.07 kJ per mole of atoms. For the magnetization, the calculation gives 0.0 μB per formula unit. For the calculated density, the calculation gives 2.807 Mg/m³.

Unit cell a=9.6493 b=9.6493 c=4.0354 alpha=101.52 beta=101.52 gamma=123.84
Last column: nearest neighbours and their distance in Å.
Fractional coordinates of all 9 atoms:
Ac1 0.0000 0.0000 0.0000  4 F 2.44
Cl1 0.1685 0.5926 0.9369  1 Cl 2.01
Cl2 0.3460 0.3460 0.3390  1 Cl 2.54
Cl3 0.4074 0.8315 0.0631  1 Cl 2.01
Cl4 0.5926 0.1685 0.9369  1 Cl 2.01
Cl5 0.6540 0.6540 0.6610  1 Cl 2.54
Cl6 0.8315 0.4074 0.0631  1 Cl 2.01
F1 0.0801 0.9199 0.5000  2 Ac 2.44, 1 F 2.73
F2 0.9199 0.0801 0.5000  2 Ac 2.44, 1 F 2.73


Among the records above, which one has the lowest calculated density? AcCl6F2


What is the calculated density in the sixth record? 3.984 Mg/m³